The following is a GGA-PBE calculation of Cu2PO5 after structural relaxation, from Alexandria.

abc: 5.796 8.013 8.567
angles: 90.00 90.00 90.00
Positions (direct):
Cu (0.747, 0.500, 0.500)
Cu (0.753, 0.000, 0.000)
Cu (0.253, 0.500, 0.500)
Cu (0.247, 0.000, 0.000)
Cu (0.500, 0.848, 0.384)
Cu (0.500, 0.152, 0.616)
Cu (0.000, 0.348, 0.116)
Cu (0.000, 0.652, 0.884)
P (0.000, 0.728, 0.253)
P (0.000, 0.272, 0.747)
P (0.500, 0.228, 0.247)
P (0.500, 0.772, 0.753)
O (0.500, 0.622, 0.420)
O (0.500, 0.378, 0.580)
O (0.000, 0.122, 0.080)
O (0.000, 0.878, 0.920)
O (0.000, 0.631, 0.414)
O (0.000, 0.369, 0.586)
O (0.500, 0.131, 0.086)
O (0.500, 0.869, 0.914)
O (0.000, 0.594, 0.118)
O (0.000, 0.406, 0.882)
O (0.500, 0.094, 0.382)
O (0.500, 0.906, 0.618)
O (0.780, 0.834, 0.243)
O (0.780, 0.166, 0.757)
O (0.720, 0.334, 0.257)
O (0.720, 0.666, 0.743)
O (0.220, 0.166, 0.757)
O (0.220, 0.834, 0.243)
O (0.280, 0.666, 0.743)
O (0.280, 0.334, 0.257)

Calculated values
excess energy over the best structure of this formula in the dataset	0	meV per atom
E_form (uncorrected)	-120.2	kJ/mol of atoms
calculated volume	12.434	Å³ per atom
symmetry	No. 58



The following is a GGA-PBE calculation of CuPO3 after structural relaxation, from Alexandria.

abc: 3.450 3.450 3.450
angles: 90.00 90.00 90.00
Positions (direct):
P (0.000, 0.000, 0.000)
O (0.000, 0.500, 0.000)
O (0.000, 0.000, 0.500)
O (0.500, 0.000, 0.000)
Cu (0.500, 0.500, 0.500)

Calculated values
E_form (uncorrected)	-68.8	kJ/mol of atoms
calculated volume	8.212	Å³ per atom
symmetry	No. 221